Here is a relaxed structure of Ca2NbGeI from Alexandria via LeMat-Bulk. Energies are from PBE-GGA.

a = 5.709 Å, b = 5.709 Å, c = 5.142 Å
α = 90.00°, β = 90.00°, γ = 90.00°
Positions (direct):
Ca  0.000  0.500  0.000
Ca  0.500  0.000  0.000
Nb  0.000  0.000  0.500
Ge  0.500  0.500  0.500
I  0.000  0.000  0.000

Values from the calculation:
symmetry	P4/mmm
E_tot	-3.40	eV per atom
uncorrected formation energy	0.643	eV per atom
DOS(E_F)	4.87	states/eV/cell